[1]
Computed, not measured: crystalline K3Na5V2Mo6O24 at its relaxed geometry at the GGA-PBEsol level of DFT.

a = 7.683 Å, b = 7.691 Å, c = 7.685 Å
α = 90.00°, β = 90.04°, γ = 90.00°
Atoms (fractional coordinates):
K 0.000 0.000 0.000
K 0.000 0.000 0.490
K 0.000 0.500 0.490
Na 0.520 0.500 0.010
Na 0.521 0.000 0.011
Na 0.521 0.000 0.479
Na 0.521 0.500 0.479
Na 0.988 0.500 0.012
V 0.753 0.251 0.244
V 0.753 0.749 0.244
Mo 0.257 0.251 0.244
Mo 0.257 0.251 0.746
Mo 0.257 0.749 0.244
Mo 0.257 0.749 0.746
Mo 0.752 0.251 0.746
Mo 0.752 0.749 0.746
O 0.005 0.252 0.747
O 0.005 0.253 0.243
O 0.005 0.747 0.243
O 0.005 0.748 0.747
O 0.257 0.500 0.746
O 0.258 0.000 0.746
O 0.258 0.252 0.994
O 0.258 0.748 0.994
O 0.259 0.250 0.495
O 0.259 0.500 0.243
O 0.259 0.750 0.495
O 0.260 0.000 0.244
O 0.504 0.251 0.746
O 0.504 0.749 0.746
O 0.506 0.251 0.244
O 0.506 0.749 0.244
O 0.750 0.000 0.244
O 0.750 0.000 0.746
O 0.750 0.251 0.495
O 0.750 0.749 0.495
O 0.751 0.500 0.243
O 0.751 0.500 0.747
O 0.752 0.252 0.996
O 0.752 0.748 0.996

Results
**Formation energy (no corrections)**: -84.9 eV per formula unit
**Space group**: Pm (6)
**Density of states at the Fermi level**: 0.252 states/eV/atom
**M_tot**: 0.0 μB per formula unit

=====

[2]
Computed, not measured: crystalline TaCr2Ag at its relaxed geometry at the GGA-PBEsol level of DFT.

a = 4.922 Å, b = 4.922 Å, c = 4.922 Å
α = 141.82°, β = 128.05°, γ = 66.27°
Atoms (fractional coordinates):
Ta 0.000 0.000 0.000
Cr 0.239 0.739 0.500
Cr 0.761 0.261 0.500
Ag 0.500 0.500 0.000

Results
**Distance to the lowest polymorph of the same formula**: 246 meV per atom
**Space group**: Immm (71)
**Density of states at the Fermi level**: 1.039 states/eV/atom
**Formation energy**: 0.5694 eV per atom
**M_tot**: 0.0 μB per formula unit

=====

[3]
Computed, not measured: crystalline Cr2ReP at its relaxed geometry at the GGA-PBEsol level of DFT.

a = 7.792 Å, b = 7.792 Å, c = 7.792 Å
α = 20.23°, β = 20.23°, γ = 20.23°
Atoms (fractional coordinates):
Cr 0.000 0.000 0.000
Cr 0.255 0.255 0.255
Re 0.498 0.498 0.498
P 0.744 0.744 0.744

Results
**Space group**: R3m (160)
**Density of states at the Fermi level**: 0.848 states/eV/atom
**Formation energy**: 0.1324 eV per atom
**M_tot**: 0.0 μB per formula unit

=====

[4]
Computed, not measured: crystalline LaNCl2 at its relaxed geometry at the GGA-PBEsol level of DFT.

a = 4.768 Å, b = 4.768 Å, c = 4.768 Å
α = 60.00°, β = 60.00°, γ = 60.00°
Atoms (fractional coordinates):
La 0.000 0.000 0.000
N 0.500 0.500 0.500
Cl 0.250 0.250 0.250
Cl 0.750 0.750 0.750

Results
**Formation energy (no corrections)**: -2.6 eV per formula unit
**Space group**: Fm-3m (225)
**Density of states at the Fermi level**: 0.902 states/eV/atom
**M_tot**: 2.0 μB per formula unit

=====

[5]
Computed, not measured: crystalline Li2NiMo at its relaxed geometry at the GGA-PBEsol level of DFT.

a = 2.569 Å, b = 4.348 Å, c = 4.669 Å
α = 90.00°, β = 90.00°, γ = 90.00°
Atoms (fractional coordinates):
Li 0.000 0.000 0.000
Li 0.500 0.500 0.000
Ni 0.000 0.500 0.500
Mo 0.500 0.000 0.500

Results
**Distance to the lowest polymorph of the same formula**: 12 meV per atom
**Space group**: Pmmm (47)
**Density of states at the Fermi level**: 0.694 states/eV/atom
**Formation energy**: 0.2847 eV per atom
**M_tot**: 0.0 μB per formula unit

=====

[6]
Computed, not measured: crystalline KZrRh at its relaxed geometry at the GGA-PBEsol level of DFT.

a = 4.552 Å, b = 4.552 Å, c = 4.552 Å
α = 60.00°, β = 60.00°, γ = 60.00°
Atoms (fractional coordinates):
K 0.000 0.000 0.000
Zr 0.750 0.750 0.750
Rh 0.500 0.500 0.500

Results
**Space group**: F-43m (216)
**Density of states at the Fermi level**: 0.358 states/eV/atom
**Formation energy**: 0.9012 eV per atom
**M_tot**: 0.0 μB per formula unit

=====

[7]
Computed, not measured: crystalline SbPb2Cl at its relaxed geometry at the GGA-PBEsol level of DFT.

a = 5.318 Å, b = 5.318 Å, c = 5.318 Å
α = 60.00°, β = 60.00°, γ = 60.00°
Atoms (fractional coordinates):
Sb 0.000 0.000 0.000
Pb 0.250 0.250 0.250
Pb 0.750 0.750 0.750
Cl 0.500 0.500 0.500

Results
**Formation energy (no corrections)**: -1.4 eV per formula unit
**Distance to the lowest polymorph of the same formula**: 36 meV per atom
**Space group**: Fm-3m (225)
**Density of states at the Fermi level**: 0.267 states/eV/atom
**M_tot**: 0.0 μB per formula unit

=====

[8]
Computed, not measured: crystalline AgTe2 at its relaxed geometry at the GGA-PBEsol level of DFT.

a = 5.900 Å, b = 5.900 Å, c = 5.900 Å
α = 115.38°, β = 115.38°, γ = 98.21°
Atoms (fractional coordinates):
Ag 0.250 0.250 0.000
Ag 0.750 0.750 0.000
Te 0.160 0.660 0.820
Te 0.340 0.160 0.500
Te 0.660 0.840 0.500
Te 0.840 0.340 0.180

Results
**Formation energy (no corrections)**: 0.4 eV per formula unit
**Space group**: I4/mcm (140)
**Density of states at the Fermi level**: 0.759 states/eV/atom
**M_tot**: 0.0 μB per formula unit

=====

What did the third record say?
Computed, not measured: crystalline Cr2ReP at its relaxed geometry at the GGA-PBEsol level of DFT.

a = 7.792 Å, b = 7.792 Å, c = 7.792 Å
α = 20.23°, β = 20.23°, γ = 20.23°
Atoms (fractional coordinates):
Cr 0.000 0.000 0.000
Cr 0.255 0.255 0.255
Re 0.498 0.498 0.498
P 0.744 0.744 0.744

Results
**Space group**: R3m (160)
**Density of states at the Fermi level**: 0.848 states/eV/atom
**Formation energy**: 0.1324 eV per atom
**M_tot**: 0.0 μB per formula unit

=====

Q: What is the M_tot in the first record?
A: 0.0 μB per formula unit